# Ce3PrTh4S8

A geometry-optimized Ce3PrTh4S8 structure (GGA-PBE, the Alexandria database).

The structure belongs to space group R-3m (No. 166, hexagonal axes); the cell edges are 8.0538, 8.0538 and 19.9567 Å and the angles 90.00°, 90.00° and 120.00°. Symmetry generates all atoms from Ce at (0.0000, 0.5000, 0.0000), Pr at (0.0000, 0.0000, 0.0000), Th at (0.0000, 0.0000, 0.5000), Th at (0.0000, 0.5000, 0.5000), S at (0.0000, 0.0000, 0.2509) and S at (0.0021, 0.5011, 0.2504).


# AcDyTm

A geometry-optimized AcDyTm structure (GGA-PBE, the Alexandria database).

The formation energy from the elements comes out at 0.7 eV per formula unit.

The structure belongs to space group P4/nmm (No. 129, origin choice 2); the cell edges are 5.035, 5.035 and 8.821 Å and the angles 90.00°, 90.00° and 90.00°. Symmetry generates all atoms from Ac at (0.250, 0.250, 0.180), Dy at (0.250, 0.250, 0.770) and Tm at (0.250, 0.750, 0.500).


# Ca2MnPt

A geometry-optimized Ca2MnPt structure (GGA-PBE, the Alexandria database).

The formation energy from the elements comes out at -1.3 eV per formula unit.

The structure belongs to space group Amm2 (No. 38); the cell edges are 4.152, 4.410 and 11.043 Å and the angles 90.00°, 90.00° and 90.00°. Symmetry generates all atoms from Ca at (0.000, 0.000, 0.000), Ca at (0.500, 0.000, 0.285), Mn at (0.000, 0.000, 0.700) and Pt at (0.500, 0.000, 0.571).


# Ti9AlSn2

A geometry-optimized Ti9AlSn2 structure (GGA-PBE, the Alexandria database).

The formation energy from the elements comes out at 2.0 eV per formula unit.

The structure belongs to space group R-3m (No. 166, hexagonal axes); the cell edges are 5.5163, 5.5163 and 25.3079 Å and the angles 90.00°, 90.00° and 120.00°. Symmetry generates all atoms from Ti at (0.0000, 0.0000, 0.0000), Ti at (0.0000, 0.0000, 0.1680), Ti at (0.0010, 0.5005, 0.4172), Al at (0.0000, 0.0000, 0.5000) and Sn at (0.0000, 0.0000, 0.3593).


# Zr2BeAl

A geometry-optimized Zr2BeAl structure (GGA-PBE, the Alexandria database).

The formation energy from the elements comes out at -0.6 eV per formula unit.

The structure belongs to space group Fm-3m (No. 225); the cell edges are 6.587, 6.587 and 6.587 Å and the angles 90.00°, 90.00° and 90.00°. Symmetry generates all atoms from Zr at (0.250, 0.250, 0.250), Be at (0.000, 0.000, 0.000) and Al at (0.000, 0.000, 0.500).


# Ho3Tl4Ag2

A geometry-optimized Ho3Tl4Ag2 structure (GGA-PBE, the Alexandria database).

The formation energy from the elements comes out at -2.1 eV per formula unit.

The structure belongs to space group C2/m (No. 12); the cell edges are 11.110, 4.958 and 9.306 Å and the angles 90.00°, 118.60° and 90.00°. Symmetry generates all atoms from Ho at (0.000, 0.000, 0.000), Ho at (0.167, 0.500, 0.658), Tl at (0.060, 0.000, 0.386), Tl at (0.240, 0.500, 0.085) and Ag at (0.101, 0.500, 0.272).


# CsTiB

A geometry-optimized CsTiB structure (GGA-PBE, the Alexandria database).

The formation energy from the elements comes out at 1.2 eV per formula unit.

The structure belongs to space group P1 (No. 1); the cell edges are 3.716, 4.479 and 12.296 Å and the angles 95.10°, 95.01° and 114.48°. Symmetry generates all atoms from Cs at (0.000, 0.000, 0.000), Cs at (0.286, 0.236, 0.572), Ti at (0.096, 0.024, 0.286), Ti at (0.818, 0.467, 0.287), B at (0.420, 0.713, 0.215) and B at (0.494, 0.777, 0.358).


# Sc5Mn

A geometry-optimized Sc5Mn structure (GGA-PBE, the Alexandria database).

The formation energy from the elements comes out at 0.3 eV per formula unit.

The structure belongs to space group C2/m (No. 12); the cell edges are 11.145, 3.275 and 7.661 Å and the angles 90.00°, 111.27° and 90.00°. Symmetry generates all atoms from Sc at (0.000, 0.000, 0.000), Sc at (0.132, 0.500, 0.368), Sc at (0.163, 0.500, 0.783) and Mn at (0.000, 0.000, 0.500).


# Sm12Y5Sc2

A geometry-optimized Sm12Y5Sc2 structure (GGA-PBE, the Alexandria database).

The formation energy from the elements comes out at 3.0 eV per formula unit.

The structure belongs to space group C2/m (No. 12); the cell edges are 19.175, 7.420 and 9.904 Å and the angles 90.00°, 117.58° and 90.00°. Symmetry generates all atoms from Sm at (0.002, 0.000, 0.201), Sm at (0.006, 0.500, 0.318), Sm at (0.160, 0.247, 0.847), Sm at (0.164, 0.240, 0.494), Y at (0.000, 0.000, 0.500), Y at (0.175, 0.000, 0.173), Y at (0.176, 0.500, 0.188) and Sc at (0.000, 0.305, 0.000).


M_tot per entry: 2.3, 0.0, 3.9, 0.0, 0.0, 0.0, 0.0, 0.2, 0.0 μB/f.u.
Total DFT energy (no corrections) per entry: -7.27, -4.16, -5.13, -6.73, -6.30, -3.44, -4.76, -6.75, -5.19 eV/atom